# Cr2ReAg

An optimized crystal structure of Cr2ReAg (PBE, Alexandria via LeMat-Bulk). Values from VASP.

Structure (Quantum ESPRESSO input):
```
&SYSTEM
  ibrav = 0, nat = 4, ntyp = 3
/
ATOMIC_SPECIES
Cr 52.00 Cr.upf
Re 186.21 Re.upf
Ag 107.87 Ag.upf
CELL_PARAMETERS angstrom
3.1072 0.0000 0.0000
0.0000 3.1072 0.0000
0.0000 0.0000 5.9470
ATOMIC_POSITIONS crystal
Cr 0.0000 0.0000 0.0000
Cr 0.5000 0.5000 0.1868
Re 0.0000 0.0000 0.3976
Ag 0.5000 0.5000 0.7114
```

energy relative to the lowest polymorph listed for this composition	116	meV per atom
DFT total energy	-8.155	eV per atom
magnetic moment	0.00	μB/atom
energy of formation from the pure elements	0.482	eV per atom

=====

# CrRe2Ag

An optimized crystal structure of CrRe2Ag (PBE, Alexandria via LeMat-Bulk). Values from VASP.

Structure (Quantum ESPRESSO input):
```
&SYSTEM
  ibrav = 0, nat = 4, ntyp = 3
/
ATOMIC_SPECIES
Cr 52.00 Cr.upf
Re 186.21 Re.upf
Ag 107.87 Ag.upf
CELL_PARAMETERS angstrom
2.7719 0.0000 0.0000
0.0000 3.9071 0.0000
-0.0499 0.0000 5.5856
ATOMIC_POSITIONS crystal
Cr 0.0000 0.0000 0.0000
Re 0.4493 0.5000 0.2160
Re 0.9940 0.0000 0.4325
Ag 0.4893 0.5000 0.7244
```

energy relative to the lowest polymorph listed for this composition	101	meV per atom
DFT total energy	-8.897	eV per atom
magnetic moment	0.00	μB/atom
energy of formation from the pure elements	0.446	eV per atom

=====

# CrRe2Ag

An optimized crystal structure of CrRe2Ag (PBE, Alexandria via LeMat-Bulk). Values from VASP.

Structure (Quantum ESPRESSO input):
```
&SYSTEM
  ibrav = 0, nat = 8, ntyp = 3
/
ATOMIC_SPECIES
Cr 52.00 Cr.upf
Re 186.21 Re.upf
Ag 107.87 Ag.upf
CELL_PARAMETERS angstrom
2.8883 0.0000 0.0000
0.0000 4.4929 0.0000
0.0000 0.0000 9.2731
ATOMIC_POSITIONS crystal
Cr 0.0000 0.0000 0.0000
Cr 0.5000 0.5000 0.5000
Re 0.0000 0.5000 0.2820
Re 0.0000 0.5000 0.7180
Re 0.5000 0.0000 0.2180
Re 0.5000 0.0000 0.7820
Ag 0.0000 0.0000 0.5000
Ag 0.5000 0.5000 0.0000
```

energy relative to the lowest polymorph listed for this composition	163	meV per atom
DFT total energy	-8.835	eV per atom
magnetic moment	0.00	μB/atom
energy of formation from the pure elements	0.508	eV per atom

=====

# CrRe2Ag

An optimized crystal structure of CrRe2Ag (PBE, Alexandria via LeMat-Bulk). Values from VASP.

Structure (Quantum ESPRESSO input):
```
&SYSTEM
  ibrav = 0, nat = 4, ntyp = 3
/
ATOMIC_SPECIES
Cr 52.00 Cr.upf
Re 186.21 Re.upf
Ag 107.87 Ag.upf
CELL_PARAMETERS angstrom
2.7111 0.0000 0.0000
0.0000 2.7111 0.0000
0.0000 0.0000 8.0825
ATOMIC_POSITIONS crystal
Cr 0.0000 0.0000 0.0000
Re 0.5000 0.5000 0.2180
Re 0.5000 0.5000 0.7820
Ag 0.0000 0.0000 0.5000
```

energy relative to the lowest polymorph listed for this composition	105	meV per atom
DFT total energy	-8.893	eV per atom
magnetic moment	0.00	μB/atom
energy of formation from the pure elements	0.450	eV per atom

=====

# Cr2ReAg

An optimized crystal structure of Cr2ReAg (PBE, Alexandria via LeMat-Bulk). Values from VASP.

Structure (Quantum ESPRESSO input):
```
&SYSTEM
  ibrav = 0, nat = 12, ntyp = 3
/
ATOMIC_SPECIES
Cr 52.00 Cr.upf
Re 186.21 Re.upf
Ag 107.87 Ag.upf
CELL_PARAMETERS angstrom
2.7221 0.0000 0.0000
-1.3611 2.3574 0.0000
0.0000 0.0000 26.8441
ATOMIC_POSITIONS crystal
Cr 0.0000 0.0000 0.2447
Cr 0.0000 0.0000 0.7553
Cr 0.3333 0.6667 0.4220
Cr 0.3333 0.6667 0.9113
Cr 0.6667 0.3333 0.0887
Cr 0.6667 0.3333 0.5780
Re 0.0000 0.0000 0.5000
Re 0.3333 0.6667 0.1667
Re 0.6667 0.3333 0.8333
Ag 0.0000 0.0000 0.0000
Ag 0.3333 0.6667 0.6667
Ag 0.6667 0.3333 0.3333
```

energy relative to the lowest polymorph listed for this composition	122	meV per atom
DFT total energy	-8.149	eV per atom
magnetic moment	0.19	μB/atom
energy of formation from the pure elements	0.488	eV per atom

=====

# CrReAg2

An optimized crystal structure of CrReAg2 (PBE, Alexandria via LeMat-Bulk). Values from VASP.

Structure (Quantum ESPRESSO input):
```
&SYSTEM
  ibrav = 0, nat = 4, ntyp = 3
/
ATOMIC_SPECIES
Cr 52.00 Cr.upf
Re 186.21 Re.upf
Ag 107.87 Ag.upf
CELL_PARAMETERS angstrom
2.7157 0.0000 0.0000
0.0000 4.8560 0.0000
-0.6321 0.0000 4.8740
ATOMIC_POSITIONS crystal
Cr 0.0000 0.0000 0.0000
Re 0.5000 0.0000 0.5000
Ag 0.2276 0.5000 0.7521
Ag 0.7724 0.5000 0.2479
```

energy relative to the lowest polymorph listed for this composition	315	meV per atom
DFT total energy	-6.263	eV per atom
magnetic moment	0.61	μB/atom
energy of formation from the pure elements	0.680	eV per atom

=====

# CrReAg2

An optimized crystal structure of CrReAg2 (PBE, Alexandria via LeMat-Bulk). Values from VASP.

Structure (Quantum ESPRESSO input):
```
&SYSTEM
  ibrav = 0, nat = 8, ntyp = 3
/
ATOMIC_SPECIES
Cr 52.00 Cr.upf
Re 186.21 Re.upf
Ag 107.87 Ag.upf
CELL_PARAMETERS angstrom
2.9264 0.0000 0.0000
0.0000 4.4599 0.0000
0.0000 0.0000 9.7446
ATOMIC_POSITIONS crystal
Cr 0.0000 0.0000 0.0000
Cr 0.5000 0.5000 0.5000
Re 0.0000 0.0000 0.5000
Re 0.5000 0.5000 0.0000
Ag 0.0000 0.5000 0.2551
Ag 0.0000 0.5000 0.7449
Ag 0.5000 0.0000 0.2449
Ag 0.5000 0.0000 0.7551
```

energy relative to the lowest polymorph listed for this composition	304	meV per atom
DFT total energy	-6.274	eV per atom
magnetic moment	0.45	μB/atom
energy of formation from the pure elements	0.670	eV per atom

=====

# CrRe3Ag

An optimized crystal structure of CrRe3Ag (PBE, Alexandria via LeMat-Bulk). Values from VASP.

Structure (Quantum ESPRESSO input):
```
&SYSTEM
  ibrav = 0, nat = 5, ntyp = 3
/
ATOMIC_SPECIES
Cr 52.00 Cr.upf
Re 186.21 Re.upf
Ag 107.87 Ag.upf
CELL_PARAMETERS angstrom
4.4600 0.0000 0.0000
0.0000 4.4600 0.0000
0.0000 0.0000 4.4600
ATOMIC_POSITIONS crystal
Cr 0.0000 0.0000 0.0000
Re 0.0000 0.0000 0.5000
Re 0.0000 0.5000 0.0000
Re 0.5000 0.0000 0.0000
Ag 0.5000 0.5000 0.5000
```

energy relative to the lowest polymorph listed for this composition	0	meV per atom
DFT total energy	-8.304	eV per atom
magnetic moment	0.00	μB/atom
energy of formation from the pure elements	1.660	eV per atom

=====

# CrReAg2

An optimized crystal structure of CrReAg2 (PBE, Alexandria via LeMat-Bulk). Values from VASP.

Structure (Quantum ESPRESSO input):
```
&SYSTEM
  ibrav = 0, nat = 8, ntyp = 3
/
ATOMIC_SPECIES
Cr 52.00 Cr.upf
Re 186.21 Re.upf
Ag 107.87 Ag.upf
CELL_PARAMETERS angstrom
4.0376 0.0000 0.0000
0.0000 4.0376 0.0000
0.0000 0.0000 7.7267
ATOMIC_POSITIONS crystal
Cr 0.0000 0.0000 0.0000
Cr 0.5000 0.5000 0.5000
Re 0.0000 0.5000 0.7500
Re 0.5000 0.0000 0.2500
Ag 0.0000 0.0000 0.5000
Ag 0.0000 0.5000 0.2500
Ag 0.5000 0.0000 0.7500
Ag 0.5000 0.5000 0.0000
```

energy relative to the lowest polymorph listed for this composition	345	meV per atom
DFT total energy	-6.232	eV per atom
magnetic moment	0.28	μB/atom
energy of formation from the pure elements	0.711	eV per atom

=====

# CrReAg2

An optimized crystal structure of CrReAg2 (PBE, Alexandria via LeMat-Bulk). Values from VASP.

Structure (Quantum ESPRESSO input):
```
&SYSTEM
  ibrav = 0, nat = 16, ntyp = 3
/
ATOMIC_SPECIES
Cr 52.00 Cr.upf
Re 186.21 Re.upf
Ag 107.87 Ag.upf
CELL_PARAMETERS angstrom
6.2887 0.0000 0.0000
0.0000 6.2887 0.0000
0.0000 0.0000 6.2887
ATOMIC_POSITIONS crystal
Cr 0.0000 0.0000 0.0000
Cr 0.0000 0.5000 0.5000
Cr 0.5000 0.0000 0.5000
Cr 0.5000 0.5000 0.0000
Re 0.0000 0.0000 0.5000
Re 0.0000 0.5000 0.0000
Re 0.5000 0.0000 0.0000
Re 0.5000 0.5000 0.5000
Ag 0.2500 0.2500 0.2500
Ag 0.2500 0.2500 0.7500
Ag 0.2500 0.7500 0.2500
Ag 0.2500 0.7500 0.7500
Ag 0.7500 0.2500 0.2500
Ag 0.7500 0.2500 0.7500
Ag 0.7500 0.7500 0.2500
Ag 0.7500 0.7500 0.7500
```

energy relative to the lowest polymorph listed for this composition	809	meV per atom
DFT total energy	-5.769	eV per atom
magnetic moment	0.00	μB/atom
energy of formation from the pure elements	1.175	eV per atom

=====

# Cr2ReAg

An optimized crystal structure of Cr2ReAg (PBE, Alexandria via LeMat-Bulk). Values from VASP.

Structure (Quantum ESPRESSO input):
```
&SYSTEM
  ibrav = 0, nat = 8, ntyp = 3
/
ATOMIC_SPECIES
Cr 52.00 Cr.upf
Re 186.21 Re.upf
Ag 107.87 Ag.upf
CELL_PARAMETERS angstrom
2.8973 0.0000 0.0000
0.0000 4.3691 0.0000
0.0000 0.0000 8.8169
ATOMIC_POSITIONS crystal
Cr 0.0000 0.0000 0.0000
Cr 0.0000 0.5000 0.2987
Cr 0.5000 0.0000 0.7987
Cr 0.5000 0.5000 0.5000
Re 0.0000 0.5000 0.7518
Re 0.5000 0.0000 0.2518
Ag 0.0000 0.0000 0.5350
Ag 0.5000 0.5000 0.0350
```

energy relative to the lowest polymorph listed for this composition	145	meV per atom
DFT total energy	-8.125	eV per atom
magnetic moment	0.00	μB/atom
energy of formation from the pure elements	0.511	eV per atom

=====

# CrReAg2

An optimized crystal structure of CrReAg2 (PBE, Alexandria via LeMat-Bulk). Values from VASP.

Structure (Quantum ESPRESSO input):
```
&SYSTEM
  ibrav = 0, nat = 16, ntyp = 3
/
ATOMIC_SPECIES
Cr 52.00 Cr.upf
Re 186.21 Re.upf
Ag 107.87 Ag.upf
CELL_PARAMETERS angstrom
3.6232 0.0000 0.0000
0.0000 3.6232 0.0000
0.0000 0.0000 20.1015
ATOMIC_POSITIONS crystal
Cr 0.0000 0.0000 0.0000
Cr 0.0000 0.5000 0.2500
Cr 0.5000 0.0000 0.7500
Cr 0.5000 0.5000 0.5000
Re 0.0000 0.0000 0.5000
Re 0.0000 0.5000 0.7500
Re 0.5000 0.0000 0.2500
Re 0.5000 0.5000 0.0000
Ag 0.2494 0.2500 0.1250
Ag 0.2500 0.7494 0.3750
Ag 0.2500 0.7506 0.8750
Ag 0.2506 0.2500 0.6250
Ag 0.7494 0.7500 0.6250
Ag 0.7500 0.2494 0.8750
Ag 0.7500 0.2506 0.3750
Ag 0.7506 0.7500 0.1250
```

energy relative to the lowest polymorph listed for this composition	663	meV per atom
DFT total energy	-5.915	eV per atom
magnetic moment	0.00	μB/atom
energy of formation from the pure elements	1.029	eV per atom

=====

# CrRe2Ag

An optimized crystal structure of CrRe2Ag (PBE, Alexandria via LeMat-Bulk). Values from VASP.

Structure (Quantum ESPRESSO input):
```
&SYSTEM
  ibrav = 0, nat = 8, ntyp = 3
/
ATOMIC_SPECIES
Cr 52.00 Cr.upf
Re 186.21 Re.upf
Ag 107.87 Ag.upf
CELL_PARAMETERS angstrom
3.0052 0.0000 0.0000
0.0000 4.4692 0.0000
0.0000 0.0000 8.9071
ATOMIC_POSITIONS crystal
Cr 0.0000 0.0000 0.0000
Cr 0.5000 0.5000 0.5000
Re 0.0000 0.0000 0.4646
Re 0.0000 0.5000 0.7186
Re 0.5000 0.0000 0.2186
Re 0.5000 0.5000 0.9646
Ag 0.0000 0.5000 0.2444
Ag 0.5000 0.0000 0.7444
```

energy relative to the lowest polymorph listed for this composition	256	meV per atom
DFT total energy	-8.742	eV per atom
magnetic moment	0.24	μB/atom
energy of formation from the pure elements	0.601	eV per atom

=====

# CrReAg2

An optimized crystal structure of CrReAg2 (PBE, Alexandria via LeMat-Bulk). Values from VASP.

Structure (Quantum ESPRESSO input):
```
&SYSTEM
  ibrav = 0, nat = 4, ntyp = 3
/
ATOMIC_SPECIES
Cr 52.00 Cr.upf
Re 186.21 Re.upf
Ag 107.87 Ag.upf
CELL_PARAMETERS angstrom
4.7971 0.0000 0.0000
0.0000 4.7971 0.0000
0.0000 0.0000 2.8841
ATOMIC_POSITIONS crystal
Cr 0.0000 0.0000 0.0000
Re 0.5000 0.5000 0.0000
Ag 0.0000 0.5000 0.5000
Ag 0.5000 0.0000 0.5000
```

energy relative to the lowest polymorph listed for this composition	528	meV per atom
DFT total energy	-6.050	eV per atom
magnetic moment	0.83	μB/atom
energy of formation from the pure elements	0.893	eV per atom

=====

# CrRe2Ag

An optimized crystal structure of CrRe2Ag (PBE, Alexandria via LeMat-Bulk). Values from VASP.

Structure (Quantum ESPRESSO input):
```
&SYSTEM
  ibrav = 0, nat = 12, ntyp = 3
/
ATOMIC_SPECIES
Cr 52.00 Cr.upf
Re 186.21 Re.upf
Ag 107.87 Ag.upf
CELL_PARAMETERS angstrom
2.7476 0.0000 0.0000
-1.3738 2.3795 0.0000
0.0000 0.0000 27.4871
ATOMIC_POSITIONS crystal
Cr 0.0000 0.0000 0.0000
Cr 0.3333 0.6667 0.6667
Cr 0.6667 0.3333 0.3333
Re 0.0000 0.0000 0.2588
Re 0.0000 0.0000 0.7412
Re 0.3333 0.6667 0.4079
Re 0.3333 0.6667 0.9254
Re 0.6667 0.3333 0.0746
Re 0.6667 0.3333 0.5921
Ag 0.0000 0.0000 0.5000
Ag 0.3333 0.6667 0.1667
Ag 0.6667 0.3333 0.8333
```

energy relative to the lowest polymorph listed for this composition	0	meV per atom
DFT total energy	-8.998	eV per atom
magnetic moment	0.00	μB/atom
energy of formation from the pure elements	0.345	eV per atom